(1)
Crystalline TbGa4 at its relaxed geometry, computed with PBE-GGA.

Geometry as CIF:
```
data_TbGa4
_chemical_formula_sum 'Tb1 Ga4'
_symmetry_space_group_name_H-M 'P m -3 m'
_symmetry_Int_Tables_number 221
_symmetry_space_group_name_Hall '-P 4 2 3'
_cell_length_a 5.5347
_cell_length_b 5.5347
_cell_length_c 5.5347
_cell_angle_alpha 90.00
_cell_angle_beta 90.00
_cell_angle_gamma 90.00
loop_
_atom_site_label
_atom_site_type_symbol
_atom_site_fract_x
_atom_site_fract_y
_atom_site_fract_z
Tb1 Tb 0.0000 0.0000 0.0000
Ga1 Ga 0.0000 0.0000 0.5000
Ga2 Ga 0.5000 0.5000 0.5000
```

**ΔE_f**: 664 meV/atom
**E**: -13.42 eV/cell
**Volume**: 170 Å³/cell
**M_tot**: 0.00 μB per cell
**Distance to the lowest polymorph of the same formula**: 1090 meV per atom
**Crystal system**: cubic


(2)
Crystalline Mg2Sn at its relaxed geometry, computed with PBE-GGA.

Geometry as CIF:
```
data_Mg2Sn
_chemical_formula_sum 'Mg8 Sn4'
_symmetry_space_group_name_H-M 'C 1 m 1'
_symmetry_Int_Tables_number 8
_cell_length_a 11.3544
_cell_length_b 3.4033
_cell_length_c 7.5737
_cell_angle_alpha 90.00
_cell_angle_beta 93.49
_cell_angle_gamma 90.00
loop_
_symmetry_equiv_pos_as_xyz
'x,y,z'
'x,-y,z'
'x+1/2,y+1/2,z'
'x+1/2,-y+1/2,z'
loop_
_atom_site_label
_atom_site_type_symbol
_atom_site_fract_x
_atom_site_fract_y
_atom_site_fract_z
Mg1 Mg 0.0000 0.0000 0.0000
Mg2 Mg 0.1077 0.0000 0.6052
Mg3 Mg 0.2456 0.5000 0.3018
Mg4 Mg 0.3781 0.0000 0.6796
Sn1 Sn 0.2227 0.5000 0.9031
Sn2 Sn 0.4743 0.0000 0.3274
```

**ΔE_f**: -83 meV/atom
**E**: -29.77 eV/cell
**Volume**: 292 Å³/cell
**M_tot**: 0.00 μB per cell
**Crystal system**: monoclinic


(3)
Crystalline Nd2CuAg at its relaxed geometry, computed with PBE-GGA.

Geometry as CIF:
```
data_Nd2CuAg
_chemical_formula_sum 'Nd8 Cu4 Ag4'
_symmetry_space_group_name_H-M 'F m -3 m'
_symmetry_Int_Tables_number 225
_symmetry_space_group_name_Hall '-F 4 2 3'
_cell_length_a 7.3698
_cell_length_b 7.3698
_cell_length_c 7.3698
_cell_angle_alpha 90.00
_cell_angle_beta 90.00
_cell_angle_gamma 90.00
loop_
_atom_site_label
_atom_site_type_symbol
_atom_site_fract_x
_atom_site_fract_y
_atom_site_fract_z
Nd1 Nd 0.2500 0.2500 0.2500
Cu1 Cu 0.0000 0.0000 0.0000
Ag1 Ag 0.0000 0.0000 0.5000
```

**ΔE_f**: -176 meV/atom
**E**: -68.75 eV/cell
**Volume**: 400 Å³/cell
**M_tot**: 0.00 μB per cell
**Distance to the lowest polymorph of the same formula**: 23 meV per atom
**Crystal system**: cubic


(4)
Crystalline Na2Cu2Ge at its relaxed geometry, computed with PBE-GGA.

Geometry as CIF:
```
data_Na2Cu2Ge
_chemical_formula_sum 'Na4 Cu4 Ge2'
_symmetry_space_group_name_H-M 'P 4/m b m'
_symmetry_Int_Tables_number 127
_symmetry_space_group_name_Hall '-P 4 2ab'
_cell_length_a 8.3818
_cell_length_b 8.3818
_cell_length_c 2.7362
_cell_angle_alpha 90.00
_cell_angle_beta 90.00
_cell_angle_gamma 90.00
loop_
_atom_site_label
_atom_site_type_symbol
_atom_site_fract_x
_atom_site_fract_y
_atom_site_fract_z
Na1 Na 0.1348 0.3652 0.0000
Cu1 Cu 0.1640 0.6640 0.5000
Ge1 Ge 0.0000 0.0000 0.0000
```

**ΔE_f**: 446 meV/atom
**E**: -26.44 eV/cell
**Volume**: 192 Å³/cell
**M_tot**: 0.00 μB per cell
**Distance to the lowest polymorph of the same formula**: 353 meV per atom
**Crystal system**: tetragonal


(5)
Crystalline KSc2Br6 at its relaxed geometry, computed with PBE-GGA.

Geometry as CIF:
```
data_KSc2Br6
_chemical_formula_sum 'K1 Sc2 Br6'
_symmetry_space_group_name_H-M 'P -3 1 m'
_symmetry_Int_Tables_number 162
_symmetry_space_group_name_Hall '-P 3 2'
_cell_length_a 6.9303
_cell_length_b 6.9303
_cell_length_c 7.5394
_cell_angle_alpha 90.00
_cell_angle_beta 90.00
_cell_angle_gamma 120.00
loop_
_atom_site_label
_atom_site_type_symbol
_atom_site_fract_x
_atom_site_fract_y
_atom_site_fract_z
K1 K 0.0000 0.0000 0.0000
Sc1 Sc 0.3333 0.6667 0.5000
Br1 Br 0.0000 0.3637 0.7093
```

**E**: -38.79 eV/cell
**Volume**: 314 Å³/cell
**M_tot**: 1.03 μB per cell
**Uncorrected formation energy**: -14.99 eV/f.u.
**Crystal system**: trigonal


(6)
Crystalline BeTc2Ru at its relaxed geometry, computed with PBE-GGA.

Geometry as CIF:
```
data_BeTc2Ru
_chemical_formula_sum 'Be3 Tc6 Ru3'
_symmetry_space_group_name_H-M 'R -3 m'
_symmetry_Int_Tables_number 166
_symmetry_space_group_name_Hall '-R 3 2"'
_cell_length_a 2.7263
_cell_length_b 2.7263
_cell_length_c 24.7978
_cell_angle_alpha 90.00
_cell_angle_beta 90.00
_cell_angle_gamma 120.00
loop_
_atom_site_label
_atom_site_type_symbol
_atom_site_fract_x
_atom_site_fract_y
_atom_site_fract_z
Be1 Be 0.0000 0.0000 0.0000
Tc1 Tc 0.0000 0.0000 0.2541
Ru1 Ru 0.0000 0.0000 0.5000
```

**ΔE_f**: 129 meV/atom
**E**: -99.65 eV/cell
**Volume**: 160 Å³/cell
**M_tot**: 0.00 μB per cell
**Crystal system**: trigonal


(7)
Crystalline LiNi2Se at its relaxed geometry, computed with PBE-GGA.

Geometry as CIF:
```
data_LiNi2Se
_chemical_formula_sum 'Li1 Ni2 Se1'
_symmetry_space_group_name_H-M 'P 4/m m m'
_symmetry_Int_Tables_number 123
_symmetry_space_group_name_Hall '-P 4 2'
_cell_length_a 3.6915
_cell_length_b 3.6915
_cell_length_c 3.5768
_cell_angle_alpha 90.00
_cell_angle_beta 90.00
_cell_angle_gamma 90.00
loop_
_atom_site_label
_atom_site_type_symbol
_atom_site_fract_x
_atom_site_fract_y
_atom_site_fract_z
Li1 Li 0.0000 0.0000 0.0000
Ni1 Ni 0.0000 0.5000 0.5000
Se1 Se 0.5000 0.5000 0.0000
```

**E**: -17.79 eV/cell
**Volume**: 49 Å³/cell
**M_tot**: 0.83 μB per cell
**Uncorrected formation energy**: -0.83 eV/f.u.
**Crystal system**: tetragonal


(8)
Crystalline ZrTa3 at its relaxed geometry, computed with PBE-GGA.

Geometry as CIF:
```
data_ZrTa3
_chemical_formula_sum 'Zr1 Ta3'
_symmetry_space_group_name_H-M 'P m m 2'
_symmetry_Int_Tables_number 25
_cell_length_a 2.7802
_cell_length_b 5.0205
_cell_length_c 5.6007
_cell_angle_alpha 90.00
_cell_angle_beta 90.00
_cell_angle_gamma 90.00
loop_
_symmetry_equiv_pos_as_xyz
'x,y,z'
'-x,-y,z'
'-x,y,z'
'x,-y,z'
loop_
_atom_site_label
_atom_site_type_symbol
_atom_site_fract_x
_atom_site_fract_y
_atom_site_fract_z
Zr1 Zr 0.0000 0.0000 0.0000
Ta1 Ta 0.0000 0.5000 0.7268
Ta2 Ta 0.5000 0.0000 0.4985
Ta3 Ta 0.5000 0.5000 0.2394
```

**ΔE_f**: 237 meV/atom
**E**: -43.16 eV/cell
**Volume**: 78 Å³/cell
**M_tot**: 0.00 μB per cell
**Distance to the lowest polymorph of the same formula**: 154 meV per atom
**Crystal system**: orthorhombic


Copy entry 8 word for word.
Crystalline ZrTa3 at its relaxed geometry, computed with PBE-GGA.

Geometry as CIF:
```
data_ZrTa3
_chemical_formula_sum 'Zr1 Ta3'
_symmetry_space_group_name_H-M 'P m m 2'
_symmetry_Int_Tables_number 25
_cell_length_a 2.7802
_cell_length_b 5.0205
_cell_length_c 5.6007
_cell_angle_alpha 90.00
_cell_angle_beta 90.00
_cell_angle_gamma 90.00
loop_
_symmetry_equiv_pos_as_xyz
'x,y,z'
'-x,-y,z'
'-x,y,z'
'x,-y,z'
loop_
_atom_site_label
_atom_site_type_symbol
_atom_site_fract_x
_atom_site_fract_y
_atom_site_fract_z
Zr1 Zr 0.0000 0.0000 0.0000
Ta1 Ta 0.0000 0.5000 0.7268
Ta2 Ta 0.5000 0.0000 0.4985
Ta3 Ta 0.5000 0.5000 0.2394
```

**ΔE_f**: 237 meV/atom
**E**: -43.16 eV/cell
**Volume**: 78 Å³/cell
**M_tot**: 0.00 μB per cell
**Distance to the lowest polymorph of the same formula**: 154 meV per atom
**Crystal system**: orthorhombic